1.
Density functional theory data (PBE) for Rb4Tm3HfS8 after structural relaxation.

Cell: 8.9312 8.9312 8.9312 Å, 52.56 52.56 52.56°
With the nearest neighbours (Å) after each atom.
Fractional positions:
Rb: 0.0000 0.0000 0.0000  6 S 3.37
Rb: 0.0000 0.5000 0.5000  6 S 3.28-3.29
Rb: 0.5000 0.0000 0.5000  6 S 3.28-3.29
Rb: 0.5000 0.5000 0.0000  6 S 3.28-3.29
Tm: 0.0000 0.0000 0.5000  6 S 2.72-2.74
Tm: 0.0000 0.5000 0.0000  6 S 2.72-2.74
Tm: 0.5000 0.0000 0.0000  6 S 2.72-2.74
Hf: 0.5000 0.5000 0.5000  6 S 2.63
S: 0.2307 0.2307 0.2307  3 Tm 2.72
S: 0.2424 0.7229 0.7229  1 Hf 2.63, 2 Tm 2.74
S: 0.2771 0.2771 0.7576  1 Hf 2.63, 2 Tm 2.74
S: 0.2771 0.7576 0.2771  1 Hf 2.63, 2 Tm 2.74
S: 0.7229 0.2424 0.7229  1 Hf 2.63, 2 Tm 2.74
S: 0.7229 0.7229 0.2424  1 Hf 2.63, 2 Tm 2.74
S: 0.7576 0.2771 0.2771  1 Hf 2.63, 2 Tm 2.74
S: 0.7693 0.7693 0.7693  3 Tm 2.72

Results
For the formation energy without anion corrections, the calculation gives -1.726 eV per atom.



2.
Density functional theory data (PBE) for RbHfUS6 after structural relaxation.

Cell: 9.3766 9.3766 9.3766 Å, 122.54 118.43 89.20°
With the nearest neighbours (Å) after each atom.
Fractional positions:
Rb: 0.3422 0.0922 0.2500  1 S 3.49
Rb: 0.6578 0.9078 0.7500  1 S 3.49
Hf: 0.0000 0.0000 0.5000  6 S 2.50-2.54
Hf: 0.0000 0.5000 0.0000  6 S 2.50-2.54
U: 0.0000 0.5000 0.5000  6 S 2.52-2.58
U: 0.5000 0.5000 0.0000  6 S 2.52-2.58
S: 0.0762 0.4311 0.2501  1 U 2.52, 1 Hf 2.54
S: 0.0762 0.8261 0.6451  1 U 2.52, 1 Hf 2.54
S: 0.0809 0.8309 0.2500  2 Hf 2.50
S: 0.3190 0.1739 0.7501  1 U 2.52, 1 Hf 2.54
S: 0.3190 0.5689 0.1451  1 U 2.52, 1 Hf 2.54
S: 0.3201 0.5701 0.7500  2 U 2.58
S: 0.6799 0.4299 0.2500  2 U 2.58
S: 0.6810 0.4311 0.8549  1 U 2.52, 1 Hf 2.54
S: 0.6810 0.8261 0.2499  1 U 2.52, 1 Hf 2.54
S: 0.9191 0.1691 0.7500  2 Hf 2.50
S: 0.9238 0.1739 0.3549  1 U 2.52, 1 Hf 2.54
S: 0.9238 0.5689 0.7499  1 U 2.52, 1 Hf 2.54

Results
For the formation energy without anion corrections, the calculation gives -1.064 eV per atom.



3.
Density functional theory data (PBE) for Rb3Y3HfS8 after structural relaxation.

Cell: 9.0851 9.0851 9.0851 Å, 51.91 51.91 51.91°
With the nearest neighbours (Å) after each atom.
Fractional positions:
Rb: 0.0000 0.5000 0.5000  6 S 3.33-3.34
Rb: 0.5000 0.0000 0.5000  6 S 3.33-3.34
Rb: 0.5000 0.5000 0.0000  6 S 3.33-3.34
Y: 0.0000 0.0000 0.5000  6 S 2.74-2.77
Y: 0.0000 0.5000 0.0000  6 S 2.74-2.77
Y: 0.5000 0.0000 0.0000  6 S 2.74-2.77
Hf: 0.5000 0.5000 0.5000  6 S 2.60
S: 0.2305 0.2305 0.2305  3 Y 2.74
S: 0.2473 0.7180 0.7180  1 Hf 2.60, 2 Y 2.77
S: 0.2820 0.2820 0.7527  1 Hf 2.60, 2 Y 2.77
S: 0.2820 0.7527 0.2820  1 Hf 2.60, 2 Y 2.77
S: 0.7180 0.2473 0.7180  1 Hf 2.60, 2 Y 2.77
S: 0.7180 0.7180 0.2473  1 Hf 2.60, 2 Y 2.77
S: 0.7527 0.2820 0.2820  1 Hf 2.60, 2 Y 2.77
S: 0.7695 0.7695 0.7695  3 Y 2.74

Results
For the formation energy without anion corrections, the calculation gives -1.822 eV per atom.



4.
Density functional theory data (PBE) for Rb3Y2HfS6 after structural relaxation.

Cell: 6.8721 6.8721 8.0316 Å, 98.22 98.22 120.00°
With the nearest neighbours (Å) after each atom.
Fractional positions:
Rb: 0.0000 0.0000 0.0000  6 S 3.26-3.39
Rb: 0.3298 0.6702 0.0000  6 S 3.27-3.36
Rb: 0.6702 0.3298 0.0000  6 S 3.27-3.36
Y: 0.1664 0.8336 0.5000  6 S 2.77-2.78
Y: 0.8336 0.1664 0.5000  6 S 2.77-2.78
Hf: 0.5000 0.5000 0.5000  6 S 2.62
S: 0.1208 0.4364 0.3093  1 Hf 2.62, 2 Y 2.77-2.78
S: 0.2488 0.2488 0.6919  1 Hf 2.62, 2 Y 2.78
S: 0.4364 0.1208 0.3093  1 Hf 2.62, 2 Y 2.77-2.78
S: 0.5636 0.8792 0.6907  1 Hf 2.62, 2 Y 2.77-2.78
S: 0.7512 0.7512 0.3081  1 Hf 2.62, 2 Y 2.78
S: 0.8792 0.5636 0.6907  1 Hf 2.62, 2 Y 2.77-2.78

Results
For the formation energy without anion corrections, the calculation gives -1.692 eV per atom.